(1)
Material: BeP2PbO
Method: DFT, PBE
State: optimized geometry

Results
raw formation energy: -0.074 eV per atom
total energy: -4.717 eV/atom
N(E_F): 3.64 states/eV/cell
energy above the most stable polymorph in this dataset: 0.000 eV/atom
spin magnetization: 0.00 μB/cell

Lattice parameters (Å, degrees): 5.308 5.308 3.014 90.00 90.00 90.00
Sites, in units of the cell vectors:
Be 0.000 0.000 0.000
P 0.000 0.500 0.000
P 0.500 0.000 0.000
Pb 0.500 0.500 0.500
O 0.000 0.000 0.500

***

(2)
Material: Co2AgAu
Method: DFT, PBE
State: optimized geometry

Results
calculated formation energy: 0.38 eV/atom
total energy: -4.705 eV/atom
N(E_F): 9.61 states/eV/cell
spin magnetization: 6.94 μB/cell

Lattice parameters (Å, degrees): 9.108 2.733 4.800 90.00 99.74 90.00
Sites, in units of the cell vectors:
Co 0.248 0.000 0.244
Co 0.252 0.500 0.756
Co 0.748 0.500 0.244
Co 0.752 0.000 0.756
Ag 0.000 0.000 0.500
Ag 0.500 0.500 0.500
Au 0.000 0.500 0.000
Au 0.500 0.000 0.000

***

(3)
Material: Tb2PmPr3Se6
Method: DFT, PBE
State: optimized geometry

Results
raw formation energy: -1.823 eV per atom
total energy: -5.928 eV/atom
N(E_F): 5.76 states/eV/cell
spin magnetization: 0.00 μB/cell

Lattice parameters (Å, degrees): 7.244 7.244 7.333 99.46 99.46 120.27
Sites, in units of the cell vectors:
Tb 0.166 0.834 0.000
Tb 0.834 0.166 0.000
Pm 0.500 0.500 0.000
Pr 0.000 0.000 0.500
Pr 0.337 0.663 0.500
Pr 0.663 0.337 0.500
Se 0.081 0.421 0.761
Se 0.239 0.239 0.236
Se 0.421 0.081 0.761
Se 0.579 0.919 0.239
Se 0.761 0.761 0.764
Se 0.919 0.579 0.239